1.
VASP calculation (PBE) on an optimized crystal structure of Ba3HAu.

## Properties
M_tot, μB per formula unit: 0.00
Space group: P2_1/m
Crystal system: monoclinic

Unit cell a=4.6904 b=7.8830 c=11.3368 alpha=89.56 beta=90.00 gamma=90.00
Fractional coordinates of all 10 atoms:
1 Ba 0.2500 0.5637 0.3500
2 Ba 0.2500 0.2363 0.9888
3 Ba 0.7500 0.7637 0.0112
4 Ba 0.7500 0.1027 0.3373
5 Ba 0.7500 0.4363 0.6500
6 Ba 0.2500 0.8973 0.6627
7 Au 0.2500 0.9164 0.1831
8 Au 0.7500 0.0836 0.8169
9 H 0.2500 0.5758 0.5834
10 H 0.7500 0.4242 0.4166

---

2.
VASP calculation (PBE) on an optimized crystal structure of BaH2Au.

## Properties
M_tot, μB per formula unit: 0.00
Space group: Fm-3m
Crystal system: cubic

Unit cell a=4.6742 b=4.6742 c=4.6742 alpha=60.00 beta=60.00 gamma=60.00
Fractional coordinates of all 4 atoms:
1 Ba 0.0000 0.0000 0.0000
2 H 0.2500 0.2500 0.2500
3 H 0.7500 0.7500 0.7500
4 Au 0.5000 0.5000 0.5000

---

Result set for total DFT energy (no corrections): -2.927; -3.058 eV per atom, one per record in the order listed.